[1]
{
  "formula": "CaScSbO2",
  "functional": "GGA-PBE",
  "state": "relaxed",
  "m_tot_mub_per_atom": 0.197,
  "final_energy_ev_per_atom": -5.67,
  "cell": [[4.121, 0.000, 0.000], [0.000, 9.577, 0.000], [0.000, 0.000, 4.121]],
  "species": ["Sc", "Sb", "Ca", "O", "O"],
  "frac_coords": [[0.000, 0.000, 0.000], [0.500, 0.500, 0.500], [0.000, 0.500, 0.000], [0.000, 0.000, 0.500], [0.500, 0.000, 0.000]]
}

---

[2]
{
  "formula": "Tl3Ag2I3Br2",
  "functional": "GGA-PBE",
  "state": "relaxed",
  "m_tot_mub_per_atom": 0.000,
  "final_energy_ev_per_atom": -2.58,
  "cell": [[5.216, 0.000, 0.000], [0.000, 5.216, 0.000], [-2.608, -2.608, 14.380]],
  "species": ["Tl", "Tl", "Tl", "Ag", "Ag", "I", "I", "I", "Br", "Br"],
  "frac_coords": [[0.629, 0.629, 0.259], [0.371, 0.371, 0.741], [0.000, 0.000, 0.000], [0.785, 0.785, 0.571], [0.215, 0.215, 0.429], [0.883, 0.883, 0.766], [0.500, 0.500, 0.000], [0.117, 0.117, 0.234], [0.750, 0.250, 0.500], [0.250, 0.750, 0.500]]
}

---

[3]
{
  "formula": "Ce2ThBi3",
  "functional": "GGA-PBE",
  "state": "relaxed",
  "m_tot_mub_per_atom": 0.336,
  "final_energy_ev_per_atom": -5.89,
  "ef_ev_per_atom": -0.730,
  "cell": [[13.805, 0.000, 0.000], [0.000, 6.514, -0.016], [0.000, 0.005, 9.201]],
  "species": ["Ce", "Ce", "Ce", "Ce", "Ce", "Ce", "Ce", "Ce", "Th", "Th", "Th", "Th", "Bi", "Bi", "Bi", "Bi", "Bi", "Bi", "Bi", "Bi", "Bi", "Bi", "Bi", "Bi"],
  "frac_coords": [[0.250, 0.749, 0.125], [0.250, 0.749, 0.625], [0.583, 0.750, 0.124], [0.917, 0.750, 0.624], [0.083, 0.250, 0.376], [0.417, 0.250, 0.876], [0.750, 0.251, 0.375], [0.750, 0.251, 0.875], [0.916, 0.751, 0.125], [0.584, 0.751, 0.625], [0.416, 0.249, 0.375], [0.084, 0.249, 0.875], [0.417, 0.749, 0.375], [0.083, 0.749, 0.875], [0.083, 0.750, 0.374], [0.417, 0.750, 0.874], [0.750, 0.751, 0.375], [0.750, 0.751, 0.875], [0.250, 0.249, 0.125], [0.250, 0.249, 0.625], [0.583, 0.250, 0.126], [0.917, 0.250, 0.626], [0.917, 0.251, 0.125], [0.583, 0.251, 0.625]]
}

---

[4]
{
  "formula": "Hf5HgN",
  "functional": "GGA-PBE",
  "state": "relaxed",
  "m_tot_mub_per_atom": 0.000,
  "final_energy_ev_per_atom": -8.39,
  "cell": [[-2.733, 0.743, 3.053], [0.662, -3.820, 1.522], [5.555, 2.684, 4.320]],
  "species": ["Hf", "Hf", "Hf", "Hf", "Hf", "Hg", "N"],
  "frac_coords": [[0.500, 0.500, 0.000], [0.500, 0.000, 0.309], [0.000, 0.500, 0.309], [0.500, 0.000, 0.691], [0.000, 0.500, 0.691], [0.000, 0.000, 0.000], [0.000, 0.000, 0.500]]
}